Record 1
A plane-wave DFT calculation with PBE was carried out for a relaxed structure of Ba2AcTlO4.

The calculation puts the total magnetization at 0.00 μB/cell. The uncorrected formation energy comes out at -2.268 eV/atom.

The space group is P2/m (No. 10) and the conventional cell measures 6.7124, 3.9457 and 6.8033 Å, with angles of 90.00, 108.82 and 90.00 degrees. The inequivalent atoms are Ba at (0.0000, 0.0000, 0.0000), Ba at (0.0000, 0.5000, 0.5000), Ac at (0.5000, 0.0000, 0.5000), Tl at (0.5000, 0.5000, 0.0000), O at (0.2496, 0.0000, 0.7082) and O at (0.2639, 0.5000, 0.2776).

=====

Record 2
A plane-wave DFT calculation with PBE was carried out for a relaxed structure of Li2Cu3Ni3.

The calculation puts the total magnetization at 0.70 μB/cell. The calculation puts the energy above the most stable polymorph in this dataset at 0 meV per atom.

The space group is Pmmm (No. 47) and the conventional cell measures 3.6243, 3.6889 and 6.8229 Å, with angles of 90.00, 90.00 and 90.00 degrees. The inequivalent atoms are Li at (0.0000, 0.0000, 0.2466), Cu at (0.0000, 0.5000, 0.5000), Cu at (0.5000, 0.0000, 0.0000), Cu at (0.5000, 0.0000, 0.5000), Ni at (0.0000, 0.5000, 0.0000) and Ni at (0.5000, 0.5000, 0.2468).

=====

Record 3
A plane-wave DFT calculation with PBE was carried out for a relaxed structure of CeBeGa2.

The calculation puts the total magnetization at 1.36 μB/cell. The calculated total energy comes out at -4.248 eV/atom.

The space group is R-3m (No. 166, hexagonal axes) and the conventional cell measures 4.0407, 4.0407 and 15.9505 Å, with angles of 90.00, 90.00 and 120.00 degrees. The inequivalent atoms are Ce at (0.0000, 0.0000, 0.0000), Be at (0.0000, 0.0000, 0.5000) and Ga at (0.0000, 0.0000, 0.2128).